[1]
Computed, not measured: ScTiBeRh2 after structural relaxation at the GGA-PBE level of DFT.

```
5
Lattice="4.500 0.000 0.000 0.000 4.492 0.000 0.000 0.000 4.500" Properties=species:S:1:pos:R:3 pbc="T T T"
Sc 2.250 2.246 2.250
Be 0.000 2.246 0.000
Rh 0.000 0.000 2.250
Rh 2.250 0.000 0.000
Ti 0.000 0.000 0.000
```

- Calculated formation energy: 297 meV per atom
- D(E_F): 5.23 states/eV per cell



[2]
Computed, not measured: NbSnSCl2 after structural relaxation at the GGA-PBE level of DFT.

```
5
Lattice="-0.467 2.698 -4.143 2.137 -3.642 -2.613 -4.353 -1.980 -0.799" Properties=species:S:1:pos:R:3 pbc="T T T"
S -2.176 -0.990 -0.400
Nb 0.000 0.000 0.000
Sn -1.341 -1.462 -3.777
Cl 1.068 -1.821 -1.306
Cl -0.233 1.349 -2.071
```

- Energy relative to the lowest polymorph listed for this composition: 0 meV per atom
- Uncorrected formation energy: -0.3720 eV per atom
- D(E_F): 4.62 states/eV per cell



no.,V (A^3/atom)
1,18.2
2,23.9